1.
Below is crystalline KErSnTe3 at its relaxed geometry, with properties calculated at the PBE-GGA level. Values from VASP.

* raw total energy: -48.6 eV per cell
* total magnetic moment: 0.00 Bohr magnetons per cell

```
&SYSTEM
  ibrav = 0, nat = 12, ntyp = 4
/
ATOMIC_SPECIES
Te 127.60 Te.upf
Sn 118.71 Sn.upf
K 39.10 K.upf
Er 167.26 Er.upf
ATOMIC_POSITIONS angstrom
Te -0.457 1.659 2.639
Te -6.449 -1.626 0.018
Te -10.169 4.631 6.752
Te -4.177 7.916 9.374
Te -7.279 1.709 5.290
Te -3.347 4.581 4.101
Sn -7.779 3.359 7.932
Sn -2.847 2.930 1.459
K -5.595 0.362 2.651
K -5.032 5.928 6.740
Er 0.000 0.000 0.000
Er -0.831 3.339 5.278
CELL_PARAMETERS angstrom
-0.895 3.524 -2.370
-8.069 -3.912 1.204
-1.662 6.678 10.557
```



2.
Below is crystalline Sc3Re5 at its relaxed geometry, with properties calculated at the PBE-GGA level. Values from VASP.

* offset from the most stable computed form: 38 kJ/mol of formula units
* energy relative to the elements: 0.065 eV per atom
* total magnetic moment: 0.00 Bohr magnetons per cell

```
&SYSTEM
  ibrav = 0, nat = 16, ntyp = 2
/
ATOMIC_SPECIES
Re 186.21 Re.upf
Sc 44.96 Sc.upf
ATOMIC_POSITIONS angstrom
Re 6.012 1.559 1.265
Re 2.144 0.936 3.796
Re 4.740 8.349 3.796
Re 6.663 7.117 0.011
Re 1.413 1.932 1.265
Re 4.308 7.143 1.265
Re 3.808 2.632 2.524
Re 6.663 7.117 2.520
Re 6.139 2.704 3.796
Re 3.808 2.632 0.007
Sc 7.991 4.758 3.796
Sc 5.960 4.502 1.265
Sc 9.072 8.370 3.796
Sc 4.546 5.271 3.796
Sc 8.053 9.153 1.265
Sc 9.160 6.003 1.265
CELL_PARAMETERS angstrom
6.774 0.994 0.000
4.536 9.028 0.000
0.000 0.000 5.062
```